The following is a DFT calculation (GGA-PBE) of a relaxed Ba5P4 crystal.

Summary:
energy of formation from the pure elements	-1.010	eV/atom
offset from the most stable computed form	0.000	eV/atom
space group	Cmce

Structure (POSCAR):
```
Ba5P4
1.0
8.372 -4.218 0.000
8.372 4.218 0.000
0.000 0.000 8.519
Ba P
10 8
direct
0.000 0.000 0.000 Ba
0.020 0.686 0.662 Ba
0.186 0.520 0.162 Ba
0.314 0.980 0.662 Ba
0.480 0.814 0.162 Ba
0.500 0.500 0.500 Ba
0.520 0.186 0.838 Ba
0.686 0.020 0.338 Ba
0.814 0.480 0.838 Ba
0.980 0.314 0.338 Ba
0.097 0.903 0.405 P
0.197 0.197 0.000 P
0.303 0.303 0.500 P
0.403 0.597 0.905 P
0.597 0.403 0.095 P
0.697 0.697 0.500 P
0.803 0.803 0.000 P
0.903 0.097 0.595 P
```